A plane-wave DFT calculation with GGA-PBE was carried out for an optimized crystal structure of PuTePb.

## Properties
The space group is F-43m. The value obtained for the total energy is -7.244 eV per atom. Its crystal system is cubic.

Unit cell a=5.2577 b=5.2577 c=5.2577 alpha=60.00 beta=60.00 gamma=60.00
Closest atoms and distances in Å follow each position.
Fractional coordinates of all 3 atoms:
Te: 0.5000 0.5000 0.5000  4 Pu 3.22
Pb: 0.0000 0.0000 0.0000  4 Pu 3.22
Pu: 0.7500 0.7500 0.7500  4 Pb 3.22, 4 Te 3.22

***

A plane-wave DFT calculation with GGA-PBE was carried out for an optimized crystal structure of Be3Os.

## Properties
The space group is P4_2/mnm. The value obtained for the total energy is -5.260 eV per atom. Its crystal system is tetragonal.

Unit cell a=6.0321 b=6.0321 c=5.6680 alpha=90.00 beta=90.00 gamma=90.00
Closest atoms and distances in Å follow each position.
Fractional coordinates of all 16 atoms:
Be: 0.0000 0.5000 0.0000  2 Os 2.31
Be: 0.8522 0.1478 0.7717  3 Os 2.18-2.35
Os: 0.6464 0.3536 0.0000  8 Be 2.18-2.35
Be: 0.0000 0.5000 0.5000  2 Os 2.31
Os: 0.1464 0.1464 0.5000  8 Be 2.18-2.35
Be: 0.3522 0.3522 0.7283  3 Os 2.18-2.35
Be: 0.1478 0.8522 0.2283  3 Os 2.18-2.35
Be: 0.5000 0.0000 0.0000  2 Os 2.31
Be: 0.6478 0.6478 0.2717  3 Os 2.18-2.35
Be: 0.5000 0.0000 0.5000  2 Os 2.31
Os: 0.8536 0.8536 0.5000  8 Be 2.18-2.35
Os: 0.3536 0.6464 0.0000  8 Be 2.18-2.35
Be: 0.3522 0.3522 0.2717  3 Os 2.18-2.35
Be: 0.8522 0.1478 0.2283  3 Os 2.18-2.35
Be: 0.6478 0.6478 0.7283  3 Os 2.18-2.35
Be: 0.1478 0.8522 0.7717  3 Os 2.18-2.35

***

A plane-wave DFT calculation with GGA-PBE was carried out for an optimized crystal structure of ZnW.

## Properties
The formation energy comes out at 0.646 eV per formula unit. The space group is Pmc2_1. For the polymorph energy (0 for the lowest one), the calculation gives 100.7 meV per atom. Its crystal system is orthorhombic.

Unit cell a=4.5253 b=9.3090 c=4.3661 alpha=90.00 beta=90.00 gamma=89.99
Closest atoms and distances in Å follow each position.
Fractional coordinates of all 12 atoms:
Zn: 0.8360 0.8386 0.5000  6 Zn 2.69, 4 W 2.75-2.90
Zn: 0.9751 0.3399 0.0000  2 Zn 2.68, 8 W 2.72-2.81
W: 0.8669 0.5056 0.5000  6 W 2.63-2.80, 4 Zn 2.72-2.81
Zn: 0.9877 0.9899 0.0000  6 Zn 2.64-2.69, 4 W 2.77-2.85
W: 0.3561 0.6574 0.5000  4 W 2.63-2.77, 6 Zn 2.72-2.90
Zn: 0.3361 0.9948 0.5000  6 Zn 2.69, 4 W 2.75-2.89
W: 0.8560 0.1760 0.5000  4 W 2.62-2.77, 6 Zn 2.72-2.89
W: 0.9781 0.6648 0.0000  4 W 2.69-2.77, 6 Zn 2.76-2.84
W: 0.3670 0.3277 0.5000  6 W 2.62-2.80, 4 Zn 2.72-2.81
Zn: 0.4877 0.8434 0.0000  6 Zn 2.64-2.69, 4 W 2.77-2.85
Zn: 0.4751 0.4933 0.0000  2 Zn 2.68, 8 W 2.72-2.81
W: 0.4781 0.1686 0.0000  4 W 2.69-2.77, 6 Zn 2.76-2.84

***

A plane-wave DFT calculation with GGA-PBE was carried out for an optimized crystal structure of HgAu15.

## Properties
The formation energy comes out at 0.957 eV per formula unit. The space group is P2/c. For the polymorph energy (0 for the lowest one), the calculation gives 23.6 meV per atom. Its crystal system is monoclinic.

Unit cell a=4.9615 b=34.2051 c=4.9675 alpha=90.00 beta=108.62 gamma=90.00
Closest atoms and distances in Å follow each position.
Fractional coordinates of all 32 atoms:
Au: 0.5000 0.5670 0.0000  12 Au 2.90-3.05
Au: 0.0000 0.6114 0.0000  12 Au 2.90-3.06
Au: 0.0000 0.2086 0.5000  9 Au 2.85-3.10, 2 Hg 3.05
Au: 0.5000 0.1678 0.5000  5 Au 2.85-2.97, 2 Hg 2.92
Au: 0.0000 0.3886 0.5000  12 Au 2.90-3.06
Au: 0.0000 0.2992 0.5000  12 Au 2.89-3.10
Au: 0.5000 0.4331 0.5000  12 Au 2.90-3.06
Au: 0.0000 0.5668 0.5000  12 Au 2.90-3.05
Au: 0.0000 0.4778 0.5000  12 Au 2.90-3.05
Hg: 0.0000 0.1568 0.0000  6 Au 2.92-3.05
Au: 0.0000 0.5223 0.0000  12 Au 2.90-3.05
Au: 0.5000 0.5223 0.5000  12 Au 2.90-3.05
Au: 0.0000 0.3445 0.0000  12 Au 2.90-3.04
Hg: 0.0000 0.8431 0.5000  6 Au 2.92-3.05
Au: 0.5000 0.7452 0.0000  12 Au 2.90-3.04
Au: 0.0000 0.2558 0.0000  11 Au 2.89-3.03
Au: 0.0000 0.7008 0.0000  12 Au 2.89-3.10
Au: 0.5000 0.2086 0.0000  9 Au 2.85-3.10, 2 Hg 3.05
Au: 0.0000 0.4332 0.0000  12 Au 2.90-3.05
Au: 0.5000 0.2991 0.0000  12 Au 2.89-3.10
Au: 0.5000 0.7914 0.5000  9 Au 2.85-3.10, 2 Hg 3.05
Au: 0.5000 0.6563 0.0000  12 Au 2.90-3.05
Au: 0.5000 0.3438 0.5000  12 Au 2.90-3.06
Au: 0.5000 0.4778 0.0000  12 Au 2.90-3.05
Au: 0.5000 0.8321 0.0000  5 Au 2.85-2.97, 2 Hg 2.92
Au: 0.0000 0.7913 0.0000  9 Au 2.85-3.10, 2 Hg 3.05
Au: 0.5000 0.7009 0.5000  12 Au 2.89-3.10
Au: 0.5000 0.2547 0.5000  12 Au 2.90-3.05
Au: 0.5000 0.3886 0.0000  12 Au 2.90-3.06
Au: 0.0000 0.6555 0.5000  12 Au 2.90-3.03
Au: 0.5000 0.6115 0.5000  12 Au 2.90-3.06
Au: 0.0000 0.7442 0.5000  11 Au 2.89-3.03

***

A plane-wave DFT calculation with GGA-PBE was carried out for an optimized crystal structure of Sr2AgAs.

## Properties
The space group is F-43m. The value obtained for the total energy is -2.858 eV per atom. Its crystal system is cubic.

Unit cell a=5.3968 b=5.3968 c=5.3968 alpha=60.00 beta=60.00 gamma=60.00
Closest atoms and distances in Å follow each position.
Fractional coordinates of all 4 atoms:
Sr: 0.5000 0.5000 0.5000  4 Ag 3.30, 4 Sr 3.30
As: 0.0000 0.0000 0.0000  4 Ag 3.30, 4 Sr 3.30
Sr: 0.2500 0.2500 0.2500  4 Sr 3.30, 4 As 3.30
Ag: 0.7500 0.7500 0.7500  4 Sr 3.30, 4 As 3.30

***

A plane-wave DFT calculation with GGA-PBE was carried out for an optimized crystal structure of HfTh.

## Properties
The formation energy comes out at 2.145 eV per formula unit. The space group is Fm-3m. For the polymorph energy (0 for the lowest one), the calculation gives 902.1 meV per atom. Its crystal system is cubic.

Unit cell a=4.4311 b=4.4311 c=4.4311 alpha=60.00 beta=60.00 gamma=60.00
Closest atoms and distances in Å follow each position.
Fractional coordinates of all 2 atoms:
Hf: 0.0000 0.0000 0.0000  6 Th 3.13
Th: 0.5000 0.5000 0.5000  6 Hf 3.13

***

A plane-wave DFT calculation with GGA-PBE was carried out for an optimized crystal structure of MgAgTeO.

## Properties
The space group is Pbca. For the polymorph energy (0 for the lowest one), the calculation gives 271.7 meV per atom. Its crystal system is orthorhombic.

Unit cell a=5.8374 b=8.5603 c=13.5918 alpha=90.00 beta=90.00 gamma=90.00
Closest atoms and distances in Å follow each position.
Fractional coordinates of all 32 atoms:
Te: 0.7558 0.0061 0.0366  1 Ag 2.85, 2 Mg 2.87-2.88, 2 Te 3.02-3.15
Te: 0.2442 0.9939 0.9634  1 Ag 2.85, 2 Mg 2.87-2.88, 2 Te 3.02-3.15
Te: 0.7442 0.9939 0.5366  1 Ag 2.85, 2 Mg 2.87-2.88, 2 Te 3.02-3.15
Mg: 0.8348 0.2425 0.6731  2 O 1.91-1.92
Ag: 0.7518 0.4924 0.8267  2 O 2.27-2.28
Te: 0.2558 0.4939 0.9634  1 Ag 2.85, 2 Mg 2.87-2.88, 2 Te 3.02-3.15
Ag: 0.2518 0.0076 0.1733  2 O 2.27-2.28
Te: 0.7558 0.4939 0.5366  1 Ag 2.85, 2 Mg 2.87-2.88, 2 Te 3.02-3.15
Ag: 0.7482 0.9924 0.8267  2 O 2.27-2.28
Ag: 0.7518 0.0076 0.3267  2 O 2.27-2.28
Te: 0.2558 0.0061 0.4634  1 Ag 2.85, 2 Mg 2.87-2.88, 2 Te 3.02-3.15
Te: 0.7442 0.5061 0.0366  1 Ag 2.85, 2 Mg 2.87-2.88, 2 Te 3.02-3.15
Ag: 0.2518 0.4924 0.6733  2 O 2.27-2.28
O: 0.1520 0.2432 0.7101  2 Mg 1.91-1.92
Mg: 0.3348 0.2575 0.3269  2 O 1.91-1.92
Mg: 0.1652 0.7425 0.8269  2 O 1.91-1.92
O: 0.8480 0.7432 0.7899  2 Mg 1.91-1.92
O: 0.8480 0.7568 0.2899  2 Mg 1.91-1.92
Mg: 0.8348 0.2575 0.1731  2 O 1.91-1.92
O: 0.3480 0.7568 0.2101  2 Mg 1.91-1.92
Mg: 0.6652 0.7575 0.1731  2 O 1.91-1.92
O: 0.3480 0.7432 0.7101  2 Mg 1.91-1.92
Mg: 0.6652 0.7425 0.6731  2 O 1.91-1.92
Mg: 0.1652 0.7575 0.3269  2 O 1.91-1.92
O: 0.1520 0.2568 0.2101  2 Mg 1.91-1.92
Ag: 0.2482 0.5076 0.1733  2 O 2.27-2.28
O: 0.6520 0.2568 0.2899  2 Mg 1.91-1.92
Ag: 0.7482 0.5076 0.3267  2 O 2.27-2.28
Ag: 0.2482 0.9924 0.6733  2 O 2.27-2.28
Mg: 0.3348 0.2425 0.8269  2 O 1.91-1.92
O: 0.6520 0.2432 0.7899  2 Mg 1.91-1.92
Te: 0.2442 0.5061 0.4634  1 Ag 2.85, 2 Mg 2.87-2.88, 2 Te 3.02-3.15

***

A plane-wave DFT calculation with GGA-PBE was carried out for an optimized crystal structure of CsTaAsO.

## Properties
The space group is Pmc2_1. For the polymorph energy (0 for the lowest one), the calculation gives 0.0 meV per atom. Its crystal system is orthorhombic.

Unit cell a=3.8674 b=8.7880 c=6.8369 alpha=90.00 beta=90.00 gamma=90.00
Closest atoms and distances in Å follow each position.
Fractional coordinates of all 8 atoms:
O: 0.5000 0.5623 0.8089  2 Ta 1.96
As: 0.0000 0.7612 0.4588  2 Ta 2.52
Cs: 0.0000 0.8238 0.9623  2 O 3.18, 2 As 3.44-3.49
As: 0.0000 0.2388 0.9588  2 Ta 2.52
O: 0.5000 0.4377 0.3089  2 Ta 1.96
Cs: 0.0000 0.1762 0.4623  2 O 3.18, 2 As 3.44-3.49
Ta: 0.5000 0.4150 0.0240  2 O 1.96
Ta: 0.5000 0.5850 0.5240  2 O 1.96

***

A plane-wave DFT calculation with GGA-PBE was carried out for an optimized crystal structure of Ac6ReO12.

## Properties
The space group is R-3. The value obtained for the total energy is -8.088 eV per atom. Its crystal system is trigonal.

Unit cell a=6.9984 b=6.9984 c=6.9984 alpha=98.44 beta=98.44 gamma=98.44
Closest atoms and distances in Å follow each position.
Fractional coordinates of all 19 atoms:
O: 0.5536 0.8224 0.4064  4 Ac 2.41-2.51
O: 0.7231 0.0291 0.9351  1 Re 1.97
O: 0.4464 0.1776 0.5936  4 Ac 2.41-2.51
O: 0.4064 0.5536 0.8224  4 Ac 2.41-2.51
Re: 0.0000 0.0000 0.0000  6 O 1.97
O: 0.9351 0.7231 0.0291  1 Re 1.97
O: 0.5936 0.4464 0.1776  4 Ac 2.41-2.51
Ac: 0.6045 0.1426 0.2993  5 O 2.41-2.63
O: 0.2769 0.9709 0.0649  1 Re 1.97
Ac: 0.7007 0.3955 0.8574  5 O 2.41-2.63
O: 0.1776 0.5936 0.4464  4 Ac 2.41-2.51
O: 0.8224 0.4064 0.5536  4 Ac 2.41-2.51
Ac: 0.2993 0.6045 0.1426  5 O 2.41-2.63
Ac: 0.8574 0.7007 0.3955  5 O 2.41-2.63
O: 0.9709 0.0649 0.2769  1 Re 1.97
Ac: 0.1426 0.2993 0.6045  5 O 2.41-2.63
O: 0.0649 0.2769 0.9709  1 Re 1.97
Ac: 0.3955 0.8574 0.7007  5 O 2.41-2.63
O: 0.0291 0.9351 0.7231  1 Re 1.97

***

A plane-wave DFT calculation with GGA-PBE was carried out for an optimized crystal structure of SrZn3O4.

## Properties
The space group is Pm-3n. The value obtained for the total energy is -4.655 eV per atom. Its crystal system is cubic.

Unit cell a=5.8379 b=5.8379 c=5.8379 alpha=90.00 beta=90.00 gamma=90.00
Closest atoms and distances in Å follow each position.
Fractional coordinates of all 16 atoms:
Sr: 0.5000 0.5000 0.5000  8 O 2.53
Zn: 0.7500 0.0000 0.5000  4 O 2.06
O: 0.2500 0.7500 0.2500  3 Zn 2.06
Sr: 0.0000 0.0000 0.0000  8 O 2.53
O: 0.2500 0.7500 0.7500  3 Zn 2.06
Zn: 0.0000 0.5000 0.7500  4 O 2.06
Zn: 0.0000 0.5000 0.2500  4 O 2.06
O: 0.2500 0.2500 0.7500  3 Zn 2.06
Zn: 0.5000 0.7500 0.0000  4 O 2.06
O: 0.7500 0.2500 0.2500  3 Zn 2.06
O: 0.7500 0.7500 0.2500  3 Zn 2.06
Zn: 0.2500 0.0000 0.5000  4 O 2.06
O: 0.7500 0.7500 0.7500  3 Zn 2.06
Zn: 0.5000 0.2500 0.0000  4 O 2.06
O: 0.7500 0.2500 0.7500  3 Zn 2.06
O: 0.2500 0.2500 0.2500  3 Zn 2.06